This record from the Alexandria database describes crystalline PuTiP2 at its relaxed geometry. The functional is GGA-PBE.

Structure (POSCAR):
```
PuTiP2
1.0
-0.653 3.646 0.442
-3.192 1.486 -1.231
-3.962 0.556 5.298
Pu P Ti
1 2 1
direct
0.671 0.671 0.987
0.093 0.093 0.722
0.240 0.240 0.279
0.496 0.496 0.512
```

Computed properties:
Symmetry: R3m
Relative energy among the computed polymorphs: 142 meV/atom
Total moment: 4.43 μB/cell
Energy: -9.2592 eV per atom
ρ: 7.77 Mg/m³